Entry 1:
Computed, not measured: a relaxed CsFe2AgF8 crystal at the PBE+U level of DFT.

Lattice parameters (Å, degrees): 6.266 6.266 6.684 90.00 90.00 120.00
Each line ends with the local moment (μB).
Positions (direct):
F 0.333 0.667 0.701  0.16
F 0.918 0.605 0.879  0.11
F 0.687 0.082 0.879  0.11
F 0.082 0.395 0.121  0.11
F 0.605 0.687 0.121  0.11
F 0.667 0.333 0.299  0.16
F 0.313 0.918 0.121  0.11
F 0.395 0.313 0.879  0.11
Fe 0.333 0.667 0.974  4.41
Fe 0.667 0.333 0.026  4.41
Ag 0.000 0.000 0.000  -0.07
Cs 0.000 0.000 0.500  0.00

Properties
Electronic total energy in eV per atom: -4.68
Density of states at the Fermi level in states/eV/atom: 0.000
Theoretical density in g/cm³: 3.69
Space-group type: P-3, No. 147

---

Entry 2:
Computed, not measured: a relaxed Cs3Fe2AgF9 crystal at the PBE+U level of DFT.

Lattice parameters (Å, degrees): 6.249 6.249 7.717 90.00 90.00 120.00
Each line ends with the local moment (μB).
Positions (direct):
Ag 0.000 0.000 0.500  0.02
F 0.636 0.818 0.299  0.06
F 0.364 0.182 0.701  0.06
F 0.182 0.364 0.299  0.06
F 0.818 0.182 0.701  0.06
F 0.000 0.500 0.000  0.06
F 0.182 0.818 0.299  0.06
F 0.500 0.500 0.000  0.06
F 0.818 0.636 0.701  0.06
F 0.500 0.000 0.000  0.06
Cs 0.333 0.667 0.652  0.00
Cs 0.000 0.000 0.000  0.00
Cs 0.667 0.333 0.348  0.00
Fe 0.333 0.667 0.152  4.16
Fe 0.667 0.333 0.848  4.16

Properties
Electronic total energy in eV per atom: -4.64
Density of states at the Fermi level in states/eV/atom: 0.369
Theoretical density in g/cm³: 5.02
Space-group type: P-3m1, No. 164

---

Entry 3:
Computed, not measured: a relaxed CsFeAg2F8 crystal at the PBE+U level of DFT.

Lattice parameters (Å, degrees): 5.644 5.644 8.168 69.79 69.79 60.00
Each line ends with the local moment (μB).
Positions (direct):
Cs 0.500 0.500 0.500  0.00
F 0.298 0.722 0.861  0.12
F 0.119 0.298 0.861  0.12
F 0.799 0.799 0.602  0.26
F 0.201 0.201 0.398  0.26
F 0.722 0.119 0.861  0.12
F 0.702 0.278 0.139  0.12
F 0.881 0.702 0.139  0.12
F 0.278 0.881 0.139  0.12
Fe 0.000 0.000 0.000  4.45
Ag 0.710 0.710 0.871  0.43
Ag 0.290 0.290 0.129  0.43

Properties
Electronic total energy in eV per atom: -4.05
Theoretical density in g/cm³: 4.47
Space-group type: R-3, No. 148

---

> The lowest electronic total energy belongs to which entry?

CsFe2AgF8

---

> Among the records above, which one has the lowest electronic total energy?

CsFe2AgF8

---

What did the first record say?
Computed, not measured: a relaxed CsFe2AgF8 crystal at the PBE+U level of DFT.

Lattice parameters (Å, degrees): 6.266 6.266 6.684 90.00 90.00 120.00
Each line ends with the local moment (μB).
Positions (direct):
F 0.333 0.667 0.701  0.16
F 0.918 0.605 0.879  0.11
F 0.687 0.082 0.879  0.11
F 0.082 0.395 0.121  0.11
F 0.605 0.687 0.121  0.11
F 0.667 0.333 0.299  0.16
F 0.313 0.918 0.121  0.11
F 0.395 0.313 0.879  0.11
Fe 0.333 0.667 0.974  4.41
Fe 0.667 0.333 0.026  4.41
Ag 0.000 0.000 0.000  -0.07
Cs 0.000 0.000 0.500  0.00

Properties
Electronic total energy in eV per atom: -4.68
Density of states at the Fermi level in states/eV/atom: 0.000
Theoretical density in g/cm³: 3.69
Space-group type: P-3, No. 147

---

> theoretical density of number 3 (CsFeAg2F8)?

4.47 g/cm³